# 1
{"formula": "Ca3CrN3", "functional": "PBE-GGA", "state": "optimized geometry", "cell": [[10.579, 0.000, 0.000], [0.000, 3.450, 0.000], [0.000, 0.000, 11.298]], "species": ["Ca", "Ca", "Ca", "Ca", "Ca", "Ca", "Ca", "Ca", "Ca", "Ca", "Ca", "Ca", "Cr", "Cr", "Cr", "Cr", "N", "N", "N", "N", "N", "N", "N", "N", "N", "N", "N", "N"], "fractional_positions": [[0.085, 0.250, 0.093], [0.131, 0.750, 0.514], [0.222, 0.750, 0.802], [0.278, 0.250, 0.302], [0.369, 0.250, 0.014], [0.415, 0.750, 0.593], [0.585, 0.250, 0.407], [0.631, 0.750, 0.986], [0.722, 0.750, 0.698], [0.778, 0.250, 0.198], [0.869, 0.250, 0.486], [0.915, 0.750, 0.907], [0.030, 0.250, 0.707], [0.470, 0.750, 0.207], [0.530, 0.250, 0.793], [0.970, 0.750, 0.293], [0.043, 0.250, 0.344], [0.070, 0.250, 0.874], [0.203, 0.250, 0.641], [0.297, 0.750, 0.141], [0.430, 0.750, 0.374], [0.457, 0.750, 0.844], [0.543, 0.250, 0.156], [0.570, 0.250, 0.626], [0.703, 0.250, 0.859], [0.797, 0.750, 0.359], [0.930, 0.750, 0.126], [0.957, 0.750, 0.656]]}


# 2
{"formula": "CaCr3N", "functional": "PBE-GGA", "state": "optimized geometry", "cell": [[4.238, 0.000, 0.000], [0.000, 4.238, 0.000], [0.000, 0.000, 4.238]], "species": ["Ca", "Cr", "Cr", "Cr", "N"], "fractional_positions": [[0.000, 0.000, 0.000], [0.000, 0.000, 0.500], [0.000, 0.500, 0.000], [0.500, 0.000, 0.000], [0.500, 0.500, 0.500]]}


# 3
{"formula": "Ca4CrN4", "functional": "PBE-GGA", "state": "optimized geometry", "cell": [[11.193, 0.000, 0.000], [0.000, 4.931, 0.000], [0.000, 0.000, 10.969]], "species": ["Ca", "Ca", "Ca", "Ca", "Ca", "Ca", "Ca", "Ca", "Ca", "Ca", "Ca", "Ca", "Ca", "Ca", "Ca", "Ca", "Cr", "Cr", "Cr", "Cr", "N", "N", "N", "N", "N", "N", "N", "N", "N", "N", "N", "N", "N", "N", "N", "N"], "fractional_positions": [[0.057, 0.250, 0.112], [0.090, 0.750, 0.316], [0.129, 0.750, 0.660], [0.227, 0.250, 0.474], [0.273, 0.750, 0.974], [0.371, 0.250, 0.160], [0.410, 0.250, 0.816], [0.443, 0.750, 0.612], [0.557, 0.250, 0.388], [0.590, 0.750, 0.184], [0.629, 0.750, 0.840], [0.727, 0.250, 0.026], [0.773, 0.750, 0.526], [0.871, 0.250, 0.340], [0.910, 0.250, 0.684], [0.943, 0.750, 0.888], [0.133, 0.250, 0.851], [0.367, 0.750, 0.351], [0.633, 0.250, 0.649], [0.867, 0.750, 0.149], [0.013, 0.750, 0.107], [0.075, 0.250, 0.330], [0.167, 0.250, 0.697], [0.238, 0.250, 0.970], [0.262, 0.750, 0.470], [0.333, 0.750, 0.197], [0.425, 0.750, 0.830], [0.487, 0.250, 0.607], [0.513, 0.750, 0.393], [0.575, 0.250, 0.170], [0.667, 0.250, 0.803], [0.738, 0.250, 0.530], [0.762, 0.750, 0.030], [0.833, 0.750, 0.303], [0.925, 0.750, 0.670], [0.987, 0.250, 0.893]]}


# 4
{"formula": "CaCrN2", "functional": "PBE-GGA", "state": "optimized geometry", "cell": [[0.000, 2.790, 2.790], [2.790, 0.000, 2.790], [2.790, 2.790, 0.000]], "species": ["Ca", "Cr", "N", "N"], "fractional_positions": [[0.000, 0.000, 0.000], [0.500, 0.500, 0.500], [0.250, 0.250, 0.250], [0.750, 0.750, 0.750]]}


Per-record size of the total moment, μB/atom: 0.402, 0.009, 0.000, 0.504
Per-record E_form (uncorrected), eV per formula unit: -5.044, 18.106, -8.056, 0.905